#a
Computed, not measured: SnW2N after structural relaxation at the PBE-GGA level of DFT.

abc: 3.0853 3.0853 14.0735
angles: 90.00 90.00 120.00
Space group P6_3/mmc (No. 194)
Inequivalent atoms, fractional coordinates:
Sn (0.3333, 0.6667, 0.2500) x2
W (0.3333, 0.6667, 0.5862) x4
N (0.0000, 0.0000, 0.0000) x2

Total moment (μB/f.u.): 0.0
Mass density (Mg/m³): 14.324

***

#b
Computed, not measured: SnW2N after structural relaxation at the PBE-GGA level of DFT.

abc: 9.687 5.522 14.192
angles: 90.00 106.85 90.00
Space group C2/c (No. 15)
Inequivalent atoms, fractional coordinates:
Sn (0.000, 0.115, 0.250) x4
Sn (0.175, 0.388, 0.743) x8
W (0.086, 0.496, 0.406) x8
W (0.108, 0.072, 0.570) x8
W (0.230, 0.083, 0.916) x8
N (0.052, 0.296, 0.031) x8
N (0.250, 0.250, 0.500) x4

Total moment (μB/f.u.): 0.0
Mass density (Mg/m³): 13.723

***

Most stable one: #b, least stable one: #a.

***

#a
Computed, not measured: Sr2ZrTcN6 after structural relaxation at the PBE-GGA level of DFT.

abc: 5.800 5.806 5.811
angles: 60.12 60.14 60.03
Space group P-1 (No. 2)
Inequivalent atoms, fractional coordinates:
Sr (0.249, 0.250, 0.250) x2
Zr (0.000, 0.000, 0.000) x1
Tc (0.500, 0.500, 0.500) x1
N (0.256, 0.743, 0.735) x2
N (0.259, 0.264, 0.736) x2
N (0.269, 0.737, 0.254) x2

Total moment (μB/f.u.): 0.0
Mass density (Mg/m³): 5.371

***

#b
Computed, not measured: Sr2ZrTcN6 after structural relaxation at the PBE-GGA level of DFT.

abc: 5.7758 5.7758 10.3568
angles: 90.00 90.00 120.00
Space group P-31c (No. 163)
Inequivalent atoms, fractional coordinates:
Sr (0.3333, 0.6667, 0.0649) x4
Zr (0.0000, 0.0000, 0.2500) x2
Tc (0.3333, 0.6667, 0.7500) x2
N (0.1191, 0.3569, 0.8627) x12

Total moment (μB/f.u.): 0.4
Mass density (Mg/m³): 4.978

***

Most stable one: #a, least stable one: #b.

***

#a
Computed, not measured: Ta3N5 after structural relaxation at the PBE-GGA level of DFT.

abc: 10.930 2.952 9.560
angles: 90.00 90.00 90.00
Space group Pnma (No. 62)
Inequivalent atoms, fractional coordinates:
Ta (0.117, 0.250, 0.249) x4
Ta (0.126, 0.750, 0.591) x4
Ta (0.133, 0.250, 0.923) x4
N (0.025, 0.750, 0.390) x4
N (0.068, 0.750, 0.796) x4
N (0.075, 0.750, 0.080) x4
N (0.215, 0.250, 0.453) x4
N (0.237, 0.250, 0.722) x4

Total moment (μB/f.u.): 0.0
Mass density (Mg/m³): 13.197

***

#b
Computed, not measured: Ta3N5 after structural relaxation at the PBE-GGA level of DFT.

abc: 9.350 6.042 5.637
angles: 90.00 90.00 90.00
Space group Pnma (No. 62)
Inequivalent atoms, fractional coordinates:
Ta (0.001, 0.250, 0.075) x4
Ta (0.179, 0.502, 0.504) x8
N (0.000, 0.250, 0.456) x4
N (0.111, 0.529, 0.150) x8
N (0.182, 0.250, 0.804) x4
N (0.208, 0.750, 0.791) x4

Total moment (μB/f.u.): 0.0
Mass density (Mg/m³): 12.782

***

Most stable one: #a, least stable one: #b.